Entry 1:
Material: TeBrN2
Method: DFT, GGA-PBEsol
State: optimized geometry

## Properties
The value obtained for the uncorrected formation energy is 96.54 kJ/mol of atoms. The raw total energy comes out at -18.45 eV/cell.

Lattice parameters (Å, degrees): 3.451 3.451 6.639 74.95 74.95 60.02
Sites, in units of the cell vectors:
N: 0.889 0.889 0.332
Br: 0.000 0.000 0.000
Te: 0.500 0.500 0.500
N: 0.111 0.111 0.668

---

Entry 2:
Material: Cr2CuSb
Method: DFT, GGA-PBEsol
State: optimized geometry

## Properties
The value obtained for the uncorrected formation energy is 72.52 kJ/mol of atoms. The raw total energy comes out at -26.37 eV/cell.

Lattice parameters (Å, degrees): 3.130 3.130 7.854 78.51 78.51 60.00
Sites, in units of the cell vectors:
Sb: 0.500 0.500 0.500
Cu: 0.000 0.000 0.000
Cr: 0.743 0.743 0.771
Cr: 0.257 0.257 0.229

---

Entry 3:
Material: CaCdCo3
Method: DFT, GGA-PBEsol
State: optimized geometry

## Properties
The raw total energy comes out at -17.66 eV/cell. The formation energy comes out at 8.879 eV per formula unit.

Lattice parameters (Å, degrees): 4.406 4.406 4.406 90.00 90.00 90.00
Sites, in units of the cell vectors:
Cd: 0.500 0.500 0.500
Co: 0.000 0.500 0.000
Co: 0.500 0.000 0.000
Ca: 0.000 0.000 0.000
Co: 0.000 0.000 0.500

---

Entry 4:
Material: Hf2FeH2
Method: DFT, GGA-PBEsol
State: optimized geometry

## Properties
The raw total energy comes out at -38.92 eV/cell.

Lattice parameters (Å, degrees): 3.059 3.059 6.289 104.08 104.08 90.00
Sites, in units of the cell vectors:
Hf: 0.366 0.366 0.733
H: 0.750 0.250 0.500
H: 0.250 0.750 0.500
Fe: 0.000 0.000 0.000
Hf: 0.634 0.634 0.267

---

Entry 5:
Material: CaZn4Ag
Method: DFT, GGA-PBEsol
State: optimized geometry

## Properties
The raw total energy comes out at -12.89 eV/cell. The formation energy comes out at -1.113 eV per formula unit.

Lattice parameters (Å, degrees): 5.198 5.198 5.198 60.00 60.00 60.00
Sites, in units of the cell vectors:
Ag: 0.750 0.750 0.750
Ca: 0.000 0.000 0.000
Zn: 0.376 0.376 0.376
Zn: 0.873 0.376 0.376
Zn: 0.376 0.873 0.376
Zn: 0.376 0.376 0.873

---

Entry 6:
Material: VI2
Method: DFT, GGA-PBEsol
State: optimized geometry

## Properties
The value obtained for the uncorrected formation energy is -39.05 kJ/mol of atoms. The raw total energy comes out at -14.38 eV/cell.

Lattice parameters (Å, degrees): 4.033 4.033 6.643 90.00 90.00 120.00
Sites, in units of the cell vectors:
I: 0.667 0.333 0.769
V: 0.000 0.000 0.000
I: 0.333 0.667 0.231

---

Entry 7:
Material: PW2Se
Method: DFT, GGA-PBEsol
State: optimized geometry

## Properties
The value obtained for the uncorrected formation energy is 48.69 kJ/mol of atoms. The value obtained for the energy above the most stable polymorph in this dataset is 521 meV/atom. The raw total energy comes out at -35.24 eV/cell.

Lattice parameters (Å, degrees): 3.992 3.992 4.718 115.03 115.03 90.00
Sites, in units of the cell vectors:
P: 0.500 0.500 0.000
W: 0.750 0.250 0.500
Se: 0.250 0.750 0.500
W: 0.000 0.000 0.000

---

Entry 8:
Material: ZrTa2Cd
Method: DFT, GGA-PBEsol
State: optimized geometry

## Properties
The raw total energy comes out at -34.64 eV/cell. The formation energy comes out at 0.748 eV per formula unit.

Lattice parameters (Å, degrees): 4.109 4.109 5.375 112.47 112.47 90.00
Sites, in units of the cell vectors:
Ta: 0.750 0.250 0.500
Ta: 0.250 0.750 0.500
Cd: 0.000 0.000 0.000
Zr: 0.500 0.500 0.000

---

Entry 9:
Material: AlHgP3
Method: DFT, GGA-PBEsol
State: optimized geometry

## Properties
The raw total energy comes out at -15.02 eV/cell. The formation energy comes out at 7.016 eV per formula unit.

Lattice parameters (Å, degrees): 4.901 4.901 4.901 90.00 90.00 90.00
Sites, in units of the cell vectors:
P: 0.000 0.000 0.500
P: 0.500 0.000 0.000
Al: 0.500 0.500 0.500
P: 0.000 0.500 0.000
Hg: 0.000 0.000 0.000

---

Entry 10:
Material: NaLiCl2
Method: DFT, GGA-PBEsol
State: optimized geometry

## Properties
The value obtained for the uncorrected formation energy is -171.23 kJ/mol of atoms. The raw total energy comes out at -14.48 eV/cell.

Lattice parameters (Å, degrees): 3.799 3.799 5.369 90.00 90.00 90.00
Sites, in units of the cell vectors:
Cl: 0.000 0.000 0.500
Cl: 0.500 0.500 0.000
Na: 0.500 0.500 0.500
Li: 0.000 0.000 0.000

---

Entry 11:
Material: Tm2TiO5
Method: DFT, GGA-PBEsol
State: optimized geometry

## Properties
The value obtained for the uncorrected formation energy is -332.54 kJ/mol of atoms. The value obtained for the energy above the most stable polymorph in this dataset is 53 meV/atom. The raw total energy comes out at -143.88 eV/cell.

Lattice parameters (Å, degrees): 5.177 6.301 7.374 111.93 90.00 114.26
Sites, in units of the cell vectors:
O: 0.320 0.341 0.642
O: 0.752 0.144 0.457
O: 0.607 0.856 0.043
O: 0.680 0.659 0.358
O: 0.021 0.341 0.142
Ti: 0.000 0.000 0.000
Tm: 0.650 0.278 0.756
Ti: 0.000 0.000 0.500
O: 0.831 0.000 0.750
Tm: 0.350 0.722 0.244
O: 0.979 0.659 0.858
Tm: 0.373 0.722 0.744
O: 0.169 0.000 0.250
O: 0.248 0.856 0.543
Tm: 0.627 0.278 0.256
O: 0.393 0.144 0.957

---

Entry 12:
Material: Ba2LiFe
Method: DFT, GGA-PBEsol
State: optimized geometry

## Properties
The value obtained for the energy above the most stable polymorph in this dataset is 0 meV/atom. The raw total energy comes out at -13.04 eV/cell. The formation energy comes out at 2.191 eV per formula unit.

Lattice parameters (Å, degrees): 3.718 3.718 9.011 90.00 90.00 90.00
Sites, in units of the cell vectors:
Li: 0.500 0.500 0.669
Ba: 0.000 0.000 0.926
Ba: 0.500 0.500 0.332
Fe: 0.000 0.000 0.573

---

Entry 13:
Material: TlTeIr2I
Method: DFT, GGA-PBEsol
State: optimized geometry

## Properties
The value obtained for the uncorrected formation energy is 153.83 kJ/mol of atoms. The raw total energy comes out at -19.60 eV/cell.

Lattice parameters (Å, degrees): 4.843 4.843 5.966 90.00 90.00 90.00
Sites, in units of the cell vectors:
Ir: 0.000 0.500 0.000
Ir: 0.500 0.000 0.000
I: 0.000 0.000 0.000
Te: 0.000 0.000 0.500
Tl: 0.500 0.500 0.500

---

Entry 14:
Material: CrIn2Tc
Method: DFT, GGA-PBEsol
State: optimized geometry

## Properties
The value obtained for the energy above the most stable polymorph in this dataset is 37 meV/atom. The raw total energy comes out at -25.88 eV/cell. The formation energy comes out at 1.595 eV per formula unit.

Lattice parameters (Å, degrees): 3.065 4.091 5.606 90.00 104.51 90.00
Sites, in units of the cell vectors:
Cr: 0.353 0.500 0.729
In: 0.922 0.000 0.967
In: 0.567 0.500 0.281
Tc: 0.158 0.000 0.523

---

Entry 15:
Material: Sc2MnRe
Method: DFT, GGA-PBEsol
State: optimized geometry

## Properties
The raw total energy comes out at -36.31 eV/cell. The formation energy comes out at -0.005 eV per formula unit.

Lattice parameters (Å, degrees): 3.113 4.544 5.378 114.99 106.82 90.00
Sites, in units of the cell vectors:
Mn: 0.524 0.024 0.048
Sc: 0.989 0.489 0.977
Sc: 0.767 0.767 0.535
Re: 0.220 0.220 0.441

---

Entry 16:
Material: ReTe2MoN
Method: DFT, GGA-PBEsol
State: optimized geometry

## Properties
The value obtained for the uncorrected formation energy is 80.34 kJ/mol of atoms. The value obtained for the energy above the most stable polymorph in this dataset is 0 meV/atom. The raw total energy comes out at -36.52 eV/cell.

Lattice parameters (Å, degrees): 3.683 5.309 5.309 90.00 90.00 90.00
Sites, in units of the cell vectors:
Re: 0.000 0.000 0.000
Te: 0.000 0.500 0.000
Mo: 0.500 0.500 0.500
Te: 0.000 0.000 0.500
N: 0.500 0.000 0.000

---

Entry 17:
Material: Cs3CuB
Method: DFT, GGA-PBEsol
State: optimized geometry

## Properties
The raw total energy comes out at -8.13 eV/cell. The formation energy comes out at 6.045 eV per formula unit.

Lattice parameters (Å, degrees): 6.358 6.358 6.358 90.00 90.00 90.00
Sites, in units of the cell vectors:
Cs: 0.500 0.000 0.000
B: 0.500 0.500 0.500
Cs: 0.000 0.500 0.000
Cu: 0.000 0.000 0.000
Cs: 0.000 0.000 0.500

---

Entry 18:
Material: CdW2Se
Method: DFT, GGA-PBEsol
State: optimized geometry

## Properties
The value obtained for the uncorrected formation energy is 62.60 kJ/mol of atoms. The value obtained for the energy above the most stable polymorph in this dataset is 284 meV/atom. The raw total energy comes out at -30.07 eV/cell.

Lattice parameters (Å, degrees): 3.051 3.051 7.031 90.00 90.00 90.00
Sites, in units of the cell vectors:
W: 0.000 0.000 0.708
W: 0.000 0.000 0.292
Cd: 0.500 0.500 0.000
Se: 0.500 0.500 0.500

---

Entry 19:
Material: CaAlAg2Sn
Method: DFT, GGA-PBEsol
State: optimized geometry

## Properties
The raw total energy comes out at -16.79 eV/cell. The formation energy comes out at 0.315 eV per formula unit.

Lattice parameters (Å, degrees): 4.841 4.841 5.279 90.00 90.00 90.00
Sites, in units of the cell vectors:
Ca: 0.500 0.500 0.500
Ag: 0.500 0.000 0.000
Al: 0.000 0.000 0.000
Sn: 0.000 0.000 0.500
Ag: 0.000 0.500 0.000

---

Entry 20:
Material: KTa2Ni
Method: DFT, GGA-PBEsol
State: optimized geometry

## Properties
The value obtained for the energy above the most stable polymorph in this dataset is 0 meV/atom. The raw total energy comes out at -30.30 eV/cell. The formation energy comes out at 2.091 eV per formula unit.

Lattice parameters (Å, degrees): 2.975 2.877 9.369 90.00 90.00 90.00
Sites, in units of the cell vectors:
Ni: 0.500 0.500 0.808
Ta: 0.000 0.000 0.964
Ta: 0.500 0.500 0.188
K: 0.000 0.000 0.540

---

Entry 21:
Material: ZnAu3
Method: DFT, GGA-PBEsol
State: optimized geometry

## Properties
The raw total energy comes out at -13.71 eV/cell. The formation energy comes out at -0.361 eV per formula unit.

Lattice parameters (Å, degrees): 2.904 2.904 9.060 80.78 80.78 60.00
Sites, in units of the cell vectors:
Au: 0.244 0.244 0.267
Au: 0.000 0.000 0.000
Au: 0.756 0.756 0.733
Zn: 0.500 0.500 0.500

---

Entry 22:
Material: CaAsSeBr2
Method: DFT, GGA-PBEsol
State: optimized geometry

## Properties
The value obtained for the uncorrected formation energy is -19.96 kJ/mol of atoms. The raw total energy comes out at -15.86 eV/cell.

Lattice parameters (Å, degrees): 5.312 5.312 5.751 90.00 90.00 90.00
Sites, in units of the cell vectors:
Br: 0.000 0.500 0.000
Br: 0.500 0.000 0.000
Se: 0.000 0.000 0.500
As: 0.500 0.500 0.500
Ca: 0.000 0.000 0.000

---

Entry 23:
Material: CrGa3Pd
Method: DFT, GGA-PBEsol
State: optimized geometry

## Properties
The raw total energy comes out at -23.43 eV/cell. The formation energy comes out at 2.790 eV per formula unit.

Lattice parameters (Å, degrees): 4.547 4.547 4.547 90.00 90.00 90.00
Sites, in units of the cell vectors:
Ga: 0.000 0.500 0.000
Ga: 0.000 0.000 0.500
Cr: 0.000 0.000 0.000
Ga: 0.500 0.000 0.000
Pd: 0.500 0.500 0.500

---

Entry 24:
Material: NiSeN2
Method: DFT, GGA-PBEsol
State: optimized geometry

## Properties
The value obtained for the uncorrected formation energy is 58.20 kJ/mol of atoms. The raw total energy comes out at -24.65 eV/cell.

Lattice parameters (Å, degrees): 2.924 2.924 6.031 75.97 75.97 60.00
Sites, in units of the cell vectors:
N: 0.114 0.114 0.659
Se: 0.000 0.000 0.000
Ni: 0.500 0.500 0.500
N: 0.886 0.886 0.341

---

Entry 25:
Material: CdHgSe2
Method: DFT, GGA-PBEsol
State: optimized geometry

## Properties
The value obtained for the uncorrected formation energy is -36.31 kJ/mol of atoms. The value obtained for the energy above the most stable polymorph in this dataset is 1 meV/atom. The raw total energy comes out at -21.94 eV/cell.

Lattice parameters (Å, degrees): 6.108 6.108 7.480 114.10 114.10 90.00
Sites, in units of the cell vectors:
Hg: 0.250 0.750 0.500
Se: 0.872 0.375 0.250
Se: 0.625 0.622 0.750
Se: 0.378 0.875 0.250
Cd: 0.750 0.250 0.500
Se: 0.125 0.128 0.750
Cd: 0.500 0.500 0.000
Hg: 0.000 0.000 0.000

---

Entry 26:
Material: IrRh5
Method: DFT, GGA-PBEsol
State: optimized geometry

## Properties
The value obtained for the energy above the most stable polymorph in this dataset is 41 meV/atom. The raw total energy comes out at -50.32 eV/cell. The formation energy comes out at 0.199 eV per formula unit.

Lattice parameters (Å, degrees): 2.691 4.347 7.107 90.00 100.91 90.00
Sites, in units of the cell vectors:
Rh: 0.334 0.000 0.667
Rh: 0.223 0.500 0.446
Rh: 0.888 0.500 0.776
Ir: 0.000 0.000 0.000
Rh: 0.666 0.000 0.332
Rh: 0.556 0.500 0.112

---

Entry 27:
Material: Ca2TeWS
Method: DFT, GGA-PBEsol
State: optimized geometry

## Properties
The value obtained for the uncorrected formation energy is -34.62 kJ/mol of atoms. The raw total energy comes out at -27.78 eV/cell.

Lattice parameters (Å, degrees): 4.412 5.296 5.296 90.00 90.00 90.00
Sites, in units of the cell vectors:
W: 0.500 0.000 0.000
Te: 0.500 0.500 0.500
S: 0.000 0.000 0.000
Ca: 0.000 0.000 0.500
Ca: 0.000 0.500 0.000

---

Entry 28:
Material: In3Hg
Method: DFT, GGA-PBEsol
State: optimized geometry

## Properties
The raw total energy comes out at -38.16 eV/cell. The formation energy comes out at -0.025 eV per formula unit.

Lattice parameters (Å, degrees): 6.255 6.190 10.192 90.00 90.00 90.00
Sites, in units of the cell vectors:
Hg: 0.451 0.036 0.250
In: 0.449 0.472 0.750
In: 0.313 0.777 0.005
In: 0.687 0.223 0.505
In: 0.687 0.223 0.995
In: 0.187 0.277 0.005
In: 0.813 0.723 0.995
Hg: 0.951 0.464 0.750
In: 0.313 0.777 0.495
Hg: 0.049 0.536 0.250
In: 0.551 0.528 0.250
In: 0.187 0.277 0.495
In: 0.813 0.723 0.505
In: 0.949 0.028 0.250
Hg: 0.549 0.964 0.750
In: 0.051 0.972 0.750